Entry 1:
The following is a DFT calculation (GGA-PBE) of a relaxed CaLaOsRu2 crystal.

a = 4.855 Å, b = 4.855 Å, c = 5.292 Å
α = 90.00°, β = 90.00°, γ = 90.00°
Element x y z (fractional)
Ca: 0.000 0.000 0.000
La: 0.500 0.500 0.000
Os: 0.500 0.500 0.500
Ru: 0.000 0.500 0.500
Ru: 0.500 0.000 0.500

Its energy of formation from the pure elements is 0.6611 eV per atom. For the uncorrected energy, the calculation gives -33.40 eV/f.u. As for the mass density: 7604 kg/m³. As for the symmetry: P4/mmm, No. 123. For the magnetization, the calculation gives 0.0 μB/cell.

---

Entry 2:
The following is a DFT calculation (GGA-PBE) of a relaxed CaLaScOs2 crystal.

a = 4.885 Å, b = 4.885 Å, c = 5.004 Å
α = 90.00°, β = 90.00°, γ = 90.00°
Element x y z (fractional)
Ca: 0.000 0.000 0.000
La: 0.500 0.500 0.000
Sc: 0.000 0.000 0.500
Os: 0.000 0.500 0.500
Os: 0.500 0.000 0.500

Its energy of formation from the pure elements is 0.9329 eV per atom. For the uncorrected energy, the calculation gives -31.06 eV/f.u. As for the mass density: 8404 kg/m³. As for the symmetry: P4/mmm, No. 123. For the magnetization, the calculation gives 0.0 μB/cell.

---

Entry 3:
The following is a DFT calculation (GGA-PBE) of a relaxed CaLa2SnOs crystal.

a = 5.455 Å, b = 5.455 Å, c = 5.531 Å
α = 90.00°, β = 90.00°, γ = 90.00°
Element x y z (fractional)
Ca: 0.000 0.000 0.000
La: 0.000 0.500 0.500
La: 0.500 0.000 0.500
Sn: 0.500 0.500 0.000
Os: 0.000 0.000 0.500

Its energy of formation from the pure elements is -0.2282 eV per atom. For the uncorrected energy, the calculation gives -28.23 eV/f.u. As for the mass density: 6325 kg/m³. As for the symmetry: P4/mmm, No. 123. For the magnetization, the calculation gives 0.0 μB/cell.

---

Entry 4:
The following is a DFT calculation (GGA-PBE) of a relaxed CaLa2TlOs crystal.

a = 5.552 Å, b = 5.552 Å, c = 5.489 Å
α = 90.00°, β = 90.00°, γ = 90.00°
Element x y z (fractional)
Ca: 0.000 0.000 0.000
La: 0.000 0.500 0.500
La: 0.500 0.000 0.500
Tl: 0.500 0.500 0.000
Os: 0.500 0.500 0.500

Its energy of formation from the pure elements is -0.0384 eV per atom. For the uncorrected energy, the calculation gives -25.64 eV/f.u. As for the mass density: 6994 kg/m³. As for the symmetry: P4/mmm, No. 123. For the magnetization, the calculation gives 0.0 μB/cell.

---

Entry 5:
The following is a DFT calculation (GGA-PBE) of a relaxed CaLa2TlOs crystal.

a = 5.496 Å, b = 5.496 Å, c = 5.651 Å
α = 90.00°, β = 90.00°, γ = 90.00°
Element x y z (fractional)
Ca: 0.000 0.000 0.000
La: 0.000 0.500 0.500
La: 0.500 0.000 0.500
Tl: 0.500 0.500 0.000
Os: 0.000 0.000 0.500

Its energy of formation from the pure elements is -0.1104 eV per atom. For the uncorrected energy, the calculation gives -26.00 eV/f.u. As for the mass density: 6931 kg/m³. As for the symmetry: P4/mmm, No. 123. For the magnetization, the calculation gives 0.0 μB/cell.

---

Entry 6:
The following is a DFT calculation (GGA-PBE) of a relaxed Ca2LaTlOs crystal.

a = 5.640 Å, b = 5.640 Å, c = 5.251 Å
α = 90.00°, β = 90.00°, γ = 90.00°
Element x y z (fractional)
Ca: 0.000 0.500 0.000
Ca: 0.500 0.000 0.000
La: 0.000 0.000 0.500
Tl: 0.500 0.500 0.500
Os: 0.000 0.000 0.000

Its energy of formation from the pure elements is 0.0198 eV per atom. For the uncorrected energy, the calculation gives -22.43 eV/f.u. As for the mass density: 6101 kg/m³. As for the symmetry: P4/mmm, No. 123. For the magnetization, the calculation gives 0.0 μB/cell.